Record 1
# SCAN BaCa3, single point on PBEsol structure
data_BaCa3
_chemical_formula_sum 'Ba2 Ca6'
_symmetry_space_group_name_H-M 'I m m m'
_symmetry_Int_Tables_number 71
_symmetry_space_group_name_Hall '-I 2 2'
_cell_length_a 4.4560
_cell_length_b 6.3257
_cell_length_c 12.5603
_cell_angle_alpha 90.00
_cell_angle_beta 90.00
_cell_angle_gamma 90.00
loop_
_atom_site_label
_atom_site_type_symbol
_atom_site_fract_x
_atom_site_fract_y
_atom_site_fract_z
Ba1 Ba 0.0000 0.0000 0.0000
Ca1 Ca 0.0000 0.0000 0.5000
Ca2 Ca 0.0000 0.5000 0.2406
# **Calculated volume**: 354.0 Å³/cell
# **Magnetic moment**: 0.12 Bohr magnetons per cell
# **E_tot**: -68.4 eV per formula unit

---

Record 2
# SCAN BaCa, single point on PBEsol structure
data_BaCa
_chemical_formula_sum 'Ba2 Ca2'
_symmetry_space_group_name_H-M 'P m m a'
_symmetry_Int_Tables_number 51
_cell_length_a 6.7405
_cell_length_b 4.0955
_cell_length_c 7.1283
_cell_angle_alpha 90.00
_cell_angle_beta 90.00
_cell_angle_gamma 90.00
loop_
_symmetry_equiv_pos_as_xyz
'x,y,z'
'-x,-y,-z'
'-x+1/2,-y,z'
'x+1/2,y,-z'
'x+1/2,-y,-z'
'-x+1/2,y,z'
'-x,y,-z'
'x,-y,z'
loop_
_atom_site_label
_atom_site_type_symbol
_atom_site_fract_x
_atom_site_fract_y
_atom_site_fract_z
Ba1 Ba 0.2500 0.0000 0.1721
Ca1 Ca 0.2500 0.5000 0.6641
# **Relative energy among the computed polymorphs**: 7 meV per atom
# **Calculated volume**: 196.8 Å³/cell
# **Magnetic moment**: 0.07 Bohr magnetons per cell
# **E_tot**: -49.1 eV per formula unit

---

Record 3
# SCAN Ba5Ca4, single point on PBEsol structure
data_Ba5Ca4
_chemical_formula_sum 'Ba10 Ca8'
_symmetry_space_group_name_H-M 'I 4/m m m'
_symmetry_Int_Tables_number 139
_symmetry_space_group_name_Hall '-I 4 2'
_cell_length_a 13.6190
_cell_length_b 13.6190
_cell_length_c 4.8125
_cell_angle_alpha 90.00
_cell_angle_beta 90.00
_cell_angle_gamma 90.00
loop_
_atom_site_label
_atom_site_type_symbol
_atom_site_fract_x
_atom_site_fract_y
_atom_site_fract_z
Ba1 Ba 0.0000 0.0000 0.0000
Ba2 Ba 0.1665 0.1665 0.5000
Ca1 Ca 0.0000 0.3425 0.0000
# **Relative energy among the computed polymorphs**: 0 meV per atom
# **Calculated volume**: 892.6 Å³/cell
# **Magnetic moment**: 0.54 Bohr magnetons per cell
# **E_tot**: -236.0 eV per formula unit

---

Record 4
# SCAN BaCa3, single point on PBEsol structure
data_BaCa3
_chemical_formula_sum 'Ba6 Ca18'
_symmetry_space_group_name_H-M 'P 63/m m c'
_symmetry_Int_Tables_number 194
_symmetry_space_group_name_Hall '-P 6c 2c'
_cell_length_a 7.9842
_cell_length_b 7.9842
_cell_length_c 19.5677
_cell_angle_alpha 90.00
_cell_angle_beta 90.00
_cell_angle_gamma 120.00
loop_
_atom_site_label
_atom_site_type_symbol
_atom_site_fract_x
_atom_site_fract_y
_atom_site_fract_z
Ba1 Ba 0.0000 0.0000 0.2500
Ba2 Ba 0.3333 0.6667 0.0843
Ca1 Ca 0.0058 0.5029 0.7500
Ca2 Ca 0.1668 0.3336 0.5831
# **Calculated volume**: 1080.3 Å³/cell
# **Magnetic moment**: 0.87 Bohr magnetons per cell
# **E_tot**: -68.4 eV per formula unit

---

Record 5
# SCAN Ba24Ca5, single point on PBEsol structure
data_Ba24Ca5
_chemical_formula_sum 'Ba48 Ca10'
_symmetry_space_group_name_H-M 'I -4 3 m'
_symmetry_Int_Tables_number 217
_symmetry_space_group_name_Hall 'I -4 2 3'
_cell_length_a 14.7077
_cell_length_b 14.7077
_cell_length_c 14.7077
_cell_angle_alpha 90.00
_cell_angle_beta 90.00
_cell_angle_gamma 90.00
loop_
_atom_site_label
_atom_site_type_symbol
_atom_site_fract_x
_atom_site_fract_y
_atom_site_fract_z
Ba1 Ba 0.0535 0.3617 0.6383
Ba2 Ba 0.0935 0.0935 0.7178
Ca1 Ca 0.0000 0.0000 0.0000
Ca2 Ca 0.1736 0.1736 0.1736
# **Calculated volume**: 3181.5 Å³/cell
# **Magnetic moment**: 5.45 Bohr magnetons per cell
# **E_tot**: -994.6 eV per formula unit

---

Record 6
# SCAN Ba2Ca, single point on PBEsol structure
data_Ba2Ca
_chemical_formula_sum 'Ba8 Ca4'
_symmetry_space_group_name_H-M 'C 1 2/m 1'
_symmetry_Int_Tables_number 12
_cell_length_a 15.5182
_cell_length_b 4.1469
_cell_length_c 9.9293
_cell_angle_alpha 90.00
_cell_angle_beta 104.94
_cell_angle_gamma 90.00
loop_
_symmetry_equiv_pos_as_xyz
'x,y,z'
'-x,-y,-z'
'-x,y,-z'
'x,-y,z'
'x+1/2,y+1/2,z'
'-x+1/2,-y+1/2,-z'
'-x+1/2,y+1/2,-z'
'x+1/2,-y+1/2,z'
loop_
_atom_site_label
_atom_site_type_symbol
_atom_site_fract_x
_atom_site_fract_y
_atom_site_fract_z
Ba1 Ba 0.0307 0.0000 0.3154
Ba2 Ba 0.1410 0.5000 0.0262
Ca1 Ca 0.1992 0.5000 0.6374
# **Relative energy among the computed polymorphs**: 0 meV per atom
# **Calculated volume**: 617.4 Å³/cell
# **Magnetic moment**: 0.23 Bohr magnetons per cell
# **E_tot**: -88.7 eV per formula unit

---

Record 7
# SCAN Ba3Ca, single point on PBEsol structure
data_Ba3Ca
_chemical_formula_sum 'Ba9 Ca3'
_symmetry_space_group_name_H-M 'R -3 m'
_symmetry_Int_Tables_number 166
_symmetry_space_group_name_Hall '-R 3 2"'
_cell_length_a 4.2148
_cell_length_b 4.2148
_cell_length_c 41.6778
_cell_angle_alpha 90.00
_cell_angle_beta 90.00
_cell_angle_gamma 120.00
loop_
_atom_site_label
_atom_site_type_symbol
_atom_site_fract_x
_atom_site_fract_y
_atom_site_fract_z
Ba1 Ba 0.0000 0.0000 0.0000
Ba2 Ba 0.0000 0.0000 0.2464
Ca1 Ca 0.0000 0.0000 0.5000
# **Relative energy among the computed polymorphs**: 47 meV per atom
# **Calculated volume**: 641.2 Å³/cell
# **Magnetic moment**: 0.65 Bohr magnetons per cell
# **E_tot**: -128.1 eV per formula unit

---

Record 8
# SCAN BaCa2, single point on PBEsol structure
data_BaCa2
_chemical_formula_sum 'Ba4 Ca8'
_symmetry_space_group_name_H-M 'C 1 m 1'
_symmetry_Int_Tables_number 8
_cell_length_a 14.9768
_cell_length_b 3.9844
_cell_length_c 9.5482
_cell_angle_alpha 90.00
_cell_angle_beta 105.59
_cell_angle_gamma 90.00
loop_
_symmetry_equiv_pos_as_xyz
'x,y,z'
'x,-y,z'
'x+1/2,y+1/2,z'
'x+1/2,-y+1/2,z'
loop_
_atom_site_label
_atom_site_type_symbol
_atom_site_fract_x
_atom_site_fract_y
_atom_site_fract_z
Ba1 Ba 0.0000 0.0000 0.0000
Ba2 Ba 0.1719 0.5000 0.3442
Ca1 Ca 0.0543 0.0000 0.6190
Ca2 Ca 0.2281 0.5000 0.9428
Ca3 Ca 0.3356 0.0000 0.6709
Ca4 Ca 0.3924 0.0000 0.2883
# **Relative energy among the computed polymorphs**: 23 meV per atom
# **Calculated volume**: 548.8 Å³/cell
# **Magnetic moment**: 0.29 Bohr magnetons per cell
# **E_tot**: -58.7 eV per formula unit

---

| no. | density of states at the Fermi level (states/eV/f.u.) |
| --- | --- |
| 1 | 3.92 |
| 2 | 2.73 |
| 3 | 11.51 |
| 4 | 4.28 |
| 5 | 38.54 |
| 6 | 2.97 |
| 7 | 5.24 |
| 8 | 3.77 |